Run a
Here is a geometry-optimized HfMn3Cr structure from Alexandria via LeMat-Bulk. Energies are from GGA-PBE.

Properties
D(E_F)   1.6045 states/eV/atom
Symmetry   Pm-3m, No. 221

abc: 4.383 4.383 4.383
angles: 90.00 90.00 90.00
Element x y z (fractional)
Cr 0.500 0.500 0.500
Mn 0.000 0.500 0.000
Mn 0.000 0.000 0.500
Mn 0.500 0.000 0.000
Hf 0.000 0.000 0.000

---

Run b
Here is a geometry-optimized HfMn3Cr structure from Alexandria via LeMat-Bulk. Energies are from GGA-PBE.

Properties
D(E_F)   0.8802 states/eV/atom
Symmetry   Pm-3m, No. 221

abc: 4.183 4.183 4.183
angles: 90.00 90.00 90.00
Element x y z (fractional)
Cr 0.000 0.000 0.000
Mn 0.000 0.500 0.000
Mn 0.000 0.000 0.500
Mn 0.500 0.000 0.000
Hf 0.500 0.500 0.500

---

Q: Which of them is the most stable? A: run b.

---

Run a
Here is a geometry-optimized HfCrMo3 structure from Alexandria via LeMat-Bulk. Energies are from GGA-PBE.

Properties
D(E_F)   1.6731 states/eV/atom
Symmetry   Pm-3m, No. 221

abc: 4.514 4.514 4.514
angles: 90.00 90.00 90.00
Element x y z (fractional)
Cr 0.000 0.000 0.000
Mo 0.000 0.500 0.000
Mo 0.000 0.000 0.500
Mo 0.500 0.000 0.000
Hf 0.500 0.500 0.500

---

Run b
Here is a geometry-optimized HfCrMo3 structure from Alexandria via LeMat-Bulk. Energies are from GGA-PBE.

Properties
D(E_F)   2.6660 states/eV/atom
Symmetry   Pm-3m, No. 221

abc: 4.718 4.718 4.718
angles: 90.00 90.00 90.00
Element x y z (fractional)
Cr 0.500 0.500 0.500
Mo 0.000 0.500 0.000
Mo 0.000 0.000 0.500
Mo 0.500 0.000 0.000
Hf 0.000 0.000 0.000

---

Q: Which of them is the most stable? A: run a.

---

Run a
Here is a geometry-optimized HfCrMo2 structure from Alexandria via LeMat-Bulk. Energies are from GGA-PBE.

Properties
D(E_F)   1.1662 states/eV/atom
Symmetry   Fm-3m, No. 225

abc: 4.475 4.475 4.475
angles: 60.00 60.00 60.00
Element x y z (fractional)
Cr 0.000 0.000 0.000
Mo 0.250 0.250 0.250
Mo 0.750 0.750 0.750
Hf 0.500 0.500 0.500

---

Run b
Here is a geometry-optimized HfCrMo2 structure from Alexandria via LeMat-Bulk. Energies are from GGA-PBE.

Properties
D(E_F)   0.5674 states/eV/atom
Symmetry   I-42d, No. 122

abc: 3.721 3.721 10.431
angles: 79.72 79.72 90.00
Element x y z (fractional)
Cr 0.500 0.500 0.000
Cr 0.250 0.750 0.500
Mo 0.130 0.125 0.250
Mo 0.620 0.625 0.250
Mo 0.375 0.870 0.750
Mo 0.875 0.380 0.750
Hf 0.000 0.000 0.000
Hf 0.750 0.250 0.500

---

Q: Which of them is the most stable? A: run a.